Record 1
Here is a relaxed SnTe2Pd4 crystal from Alexandria via LeMat-Bulk. Energies are from GGA-PBE.

Values from the calculation:
E_form (uncorrected) ... 209 meV per atom
Energy relative to the lowest polymorph listed for this composition ... 479 meV per atom
Total energy ... -4.228 eV/atom

The structure in CIF format:
```
data_SnTe2Pd4
_chemical_formula_sum 'Sn2 Te4 Pd8'
_symmetry_space_group_name_H-M 'I 4/m m m'
_symmetry_Int_Tables_number 139
_symmetry_space_group_name_Hall '-I 4 2'
_cell_length_a 4.997
_cell_length_b 4.997
_cell_length_c 13.764
_cell_angle_alpha 90.00
_cell_angle_beta 90.00
_cell_angle_gamma 90.00
loop_
_atom_site_label
_atom_site_type_symbol
_atom_site_fract_x
_atom_site_fract_y
_atom_site_fract_z
Sn1 Sn 0.000 0.000 0.000
Te1 Te 0.000 0.000 0.376
Pd1 Pd 0.000 0.000 0.187
Pd2 Pd 0.000 0.500 0.000
```

=====

Record 2
Here is a relaxed ZnSnTe2Pd crystal from Alexandria via LeMat-Bulk. Energies are from GGA-PBE.

Values from the calculation:
E_form (uncorrected) ... 30 meV per atom
Total energy ... -3.320 eV/atom

The structure in CIF format:
```
data_ZnSnTe2Pd
_chemical_formula_sum 'Zn1 Sn1 Te2 Pd1'
_symmetry_space_group_name_H-M 'P 4/m m m'
_symmetry_Int_Tables_number 123
_symmetry_space_group_name_Hall '-P 4 2'
_cell_length_a 5.433
_cell_length_b 5.433
_cell_length_c 4.697
_cell_angle_alpha 90.00
_cell_angle_beta 90.00
_cell_angle_gamma 90.00
loop_
_atom_site_label
_atom_site_type_symbol
_atom_site_fract_x
_atom_site_fract_y
_atom_site_fract_z
Zn1 Zn 0.000 0.000 0.000
Sn1 Sn 0.500 0.500 0.000
Te1 Te 0.000 0.500 0.500
Pd1 Pd 0.000 0.000 0.500
```

=====

Record 3
Here is a relaxed ThSnPd2 crystal from Alexandria via LeMat-Bulk. Energies are from GGA-PBE.

Values from the calculation:
Energy of formation ... -0.79 eV per atom
Total energy ... -6.242 eV/atom

The structure in CIF format:
```
data_ThSnPd2
_chemical_formula_sum 'Th3 Sn3 Pd6'
_symmetry_space_group_name_H-M 'R -3 m'
_symmetry_Int_Tables_number 166
_symmetry_space_group_name_Hall '-R 3 2"'
_cell_length_a 4.9381
_cell_length_b 4.9381
_cell_length_c 12.1408
_cell_angle_alpha 90.00
_cell_angle_beta 90.00
_cell_angle_gamma 120.00
loop_
_atom_site_label
_atom_site_type_symbol
_atom_site_fract_x
_atom_site_fract_y
_atom_site_fract_z
Th1 Th 0.0000 0.0000 0.0000
Sn1 Sn 0.0000 0.0000 0.5000
Pd1 Pd 0.0000 0.0000 0.2491
```

=====

Record 4
Here is a relaxed Th8Sn2Pd crystal from Alexandria via LeMat-Bulk. Energies are from GGA-PBE.

Values from the calculation:
Energy of formation ... -0.24 eV per atom
Total energy ... -6.832 eV/atom

The structure in CIF format:
```
data_Th8Sn2Pd
_chemical_formula_sum 'Th16 Sn4 Pd2'
_symmetry_space_group_name_H-M 'C 1 2/m 1'
_symmetry_Int_Tables_number 12
_cell_length_a 18.416
_cell_length_b 4.674
_cell_length_c 7.886
_cell_angle_alpha 90.00
_cell_angle_beta 94.14
_cell_angle_gamma 90.00
loop_
_symmetry_equiv_pos_as_xyz
'x,y,z'
'-x,-y,-z'
'-x,y,-z'
'x,-y,z'
'x+1/2,y+1/2,z'
'-x+1/2,-y+1/2,-z'
'-x+1/2,y+1/2,-z'
'x+1/2,-y+1/2,z'
loop_
_atom_site_label
_atom_site_type_symbol
_atom_site_fract_x
_atom_site_fract_y
_atom_site_fract_z
Th1 Th 0.010 0.000 0.241
Th2 Th 0.095 0.500 0.519
Th3 Th 0.155 0.500 0.040
Th4 Th 0.212 0.000 0.352
Sn1 Sn 0.177 0.000 0.766
Pd1 Pd 0.000 0.500 0.000
```

=====

Record 5
Here is a relaxed Th3Sn4Pd3 crystal from Alexandria via LeMat-Bulk. Energies are from GGA-PBE.

Values from the calculation:
Energy of formation ... -0.77 eV per atom
Total energy ... -6.159 eV/atom

The structure in CIF format:
```
data_Th3Sn4Pd3
_chemical_formula_sum 'Th12 Sn16 Pd12'
_symmetry_space_group_name_H-M 'I -4 3 d'
_symmetry_Int_Tables_number 220
_symmetry_space_group_name_Hall 'I -4bd 2c 3'
_cell_length_a 9.955
_cell_length_b 9.955
_cell_length_c 9.955
_cell_angle_alpha 90.00
_cell_angle_beta 90.00
_cell_angle_gamma 90.00
loop_
_atom_site_label
_atom_site_type_symbol
_atom_site_fract_x
_atom_site_fract_y
_atom_site_fract_z
Th1 Th 0.000 0.250 0.375
Sn1 Sn 0.084 0.084 0.084
Pd1 Pd 0.000 0.250 0.875
```

=====

Record 6
Here is a relaxed Th2SnPd8 crystal from Alexandria via LeMat-Bulk. Energies are from GGA-PBE.

Values from the calculation:
Energy of formation ... -0.69 eV per atom
Total energy ... -6.179 eV/atom

The structure in CIF format:
```
data_Th2SnPd8
_chemical_formula_sum 'Th4 Sn2 Pd16'
_symmetry_space_group_name_H-M 'I m m m'
_symmetry_Int_Tables_number 71
_symmetry_space_group_name_Hall '-I 2 2'
_cell_length_a 4.954
_cell_length_b 5.965
_cell_length_c 14.474
_cell_angle_alpha 90.00
_cell_angle_beta 90.00
_cell_angle_gamma 90.00
loop_
_atom_site_label
_atom_site_type_symbol
_atom_site_fract_x
_atom_site_fract_y
_atom_site_fract_z
Th1 Th 0.000 0.000 0.182
Sn1 Sn 0.000 0.000 0.500
Pd1 Pd 0.000 0.257 0.000
Pd2 Pd 0.000 0.260 0.358
Pd3 Pd 0.000 0.500 0.182
```

=====

Record 7
Here is a relaxed ThSn3Pd crystal from Alexandria via LeMat-Bulk. Energies are from GGA-PBE.

Values from the calculation:
Energy of formation ... -0.39 eV per atom
Total energy ... -5.313 eV/atom

The structure in CIF format:
```
data_ThSn3Pd
_chemical_formula_sum 'Th2 Sn6 Pd2'
_symmetry_space_group_name_H-M 'P m m n'
_symmetry_Int_Tables_number 59
_cell_length_a 4.707
_cell_length_b 6.534
_cell_length_c 8.501
_cell_angle_alpha 90.00
_cell_angle_beta 90.00
_cell_angle_gamma 90.00
loop_
_symmetry_equiv_pos_as_xyz
'x,y,z'
'-x,-y,-z'
'-x+1/2,-y+1/2,z'
'x+1/2,y+1/2,-z'
'x+1/2,-y,-z'
'-x+1/2,y,z'
'-x,y+1/2,-z'
'x,-y+1/2,z'
loop_
_atom_site_label
_atom_site_type_symbol
_atom_site_fract_x
_atom_site_fract_y
_atom_site_fract_z
Th1 Th 0.250 0.250 0.219
Sn1 Sn 0.250 0.022 0.631
Sn2 Sn 0.250 0.750 0.042
Pd1 Pd 0.250 0.750 0.361
```

=====

Record 8
Here is a relaxed ThSn3Pd3 crystal from Alexandria via LeMat-Bulk. Energies are from GGA-PBE.

Values from the calculation:
Energy of formation ... -0.06 eV per atom
Total energy ... -5.062 eV/atom

The structure in CIF format:
```
data_ThSn3Pd3
_chemical_formula_sum 'Th2 Sn6 Pd6'
_symmetry_space_group_name_H-M 'P m -3 n'
_symmetry_Int_Tables_number 223
_symmetry_space_group_name_Hall '-P 4n 2 3'
_cell_length_a 7.194
_cell_length_b 7.194
_cell_length_c 7.194
_cell_angle_alpha 90.00
_cell_angle_beta 90.00
_cell_angle_gamma 90.00
loop_
_atom_site_label
_atom_site_type_symbol
_atom_site_fract_x
_atom_site_fract_y
_atom_site_fract_z
Th1 Th 0.000 0.000 0.000
Sn1 Sn 0.000 0.250 0.500
Pd1 Pd 0.000 0.500 0.250
```

=====

Record 9
Here is a relaxed ThSnPd2 crystal from Alexandria via LeMat-Bulk. Energies are from GGA-PBE.

Values from the calculation:
Energy of formation ... -0.61 eV per atom
Total energy ... -6.063 eV/atom

The structure in CIF format:
```
data_ThSnPd2
_chemical_formula_sum 'Th1 Sn1 Pd2'
_symmetry_space_group_name_H-M 'P 4/m m m'
_symmetry_Int_Tables_number 123
_symmetry_space_group_name_Hall '-P 4 2'
_cell_length_a 4.756
_cell_length_b 4.756
_cell_length_c 3.840
_cell_angle_alpha 90.00
_cell_angle_beta 90.00
_cell_angle_gamma 90.00
loop_
_atom_site_label
_atom_site_type_symbol
_atom_site_fract_x
_atom_site_fract_y
_atom_site_fract_z
Th1 Th 0.000 0.000 0.000
Sn1 Sn 0.500 0.500 0.000
Pd1 Pd 0.000 0.500 0.500
```

=====

Record 10
Here is a relaxed ThSnPd2 crystal from Alexandria via LeMat-Bulk. Energies are from GGA-PBE.

Values from the calculation:
Energy of formation ... -0.82 eV per atom
Total energy ... -6.271 eV/atom

The structure in CIF format:
```
data_ThSnPd2
_chemical_formula_sum 'Th2 Sn2 Pd4'
_symmetry_space_group_name_H-M 'P m m n'
_symmetry_Int_Tables_number 59
_cell_length_a 4.774
_cell_length_b 6.895
_cell_length_c 5.229
_cell_angle_alpha 90.00
_cell_angle_beta 90.00
_cell_angle_gamma 90.00
loop_
_symmetry_equiv_pos_as_xyz
'x,y,z'
'-x,-y,-z'
'-x+1/2,-y+1/2,z'
'x+1/2,y+1/2,-z'
'x+1/2,-y,-z'
'-x+1/2,y,z'
'-x,y+1/2,-z'
'x,-y+1/2,z'
loop_
_atom_site_label
_atom_site_type_symbol
_atom_site_fract_x
_atom_site_fract_y
_atom_site_fract_z
Th1 Th 0.250 0.250 0.195
Sn1 Sn 0.250 0.750 0.255
Pd1 Pd 0.250 0.024 0.672
```

=====

Which value of total energy does entry 4 give? -6.832 eV/atom

=====

Number 2 is which compound? ZnSnTe2Pd